Entry 1:
Material: HfZrTlHg
Method: DFT, PBE
State: relaxed

Computed properties:
Excess energy over the best structure of this formula in the dataset   101 meV per atom
Symmetry   F-43m, No. 216

a = 5.0080 Å, b = 5.0080 Å, c = 5.0080 Å
α = 60.00°, β = 60.00°, γ = 60.00°
Sites, in units of the cell vectors:
Tl (0.2500, 0.2500, 0.2500)
Hg (0.7500, 0.7500, 0.7500)
Hf (0.5000, 0.5000, 0.5000)
Zr (0.0000, 0.0000, 0.0000)

Entry 2:
Material: HfZrTlHg
Method: DFT, PBE
State: relaxed

Computed properties:
Excess energy over the best structure of this formula in the dataset   0 meV per atom
Symmetry   Pmmm, No. 47

a = 4.3479 Å, b = 4.4458 Å, c = 4.5331 Å
α = 90.00°, β = 90.00°, γ = 90.00°
Sites, in units of the cell vectors:
Hg (0.5000, 0.0000, 0.5000)
Hf (0.0000, 0.5000, 0.5000)
Zr (0.0000, 0.0000, 0.0000)
Tl (0.5000, 0.5000, 0.0000)

Entry 3:
Material: Tm2HfHg
Method: DFT, PBE
State: relaxed

Computed properties:
Excess energy over the best structure of this formula in the dataset   446 meV per atom
Symmetry   R-3m, No. 166

a = 3.2868 Å, b = 3.2868 Å, c = 11.5209 Å
α = 81.80°, β = 81.80°, γ = 60.00°
Sites, in units of the cell vectors:
Tm (0.0925, 0.0925, 0.7226)
Tm (0.9075, 0.9075, 0.2774)
Hg (0.5000, 0.5000, 0.5000)
Hf (0.0000, 0.0000, 0.0000)

Entry 4:
Material: TmHfHg2
Method: DFT, PBE
State: relaxed

Computed properties:
Excess energy over the best structure of this formula in the dataset   0 meV per atom
Symmetry   P4/mmm, No. 123

a = 3.5841 Å, b = 3.5841 Å, c = 7.1118 Å
α = 90.00°, β = 90.00°, γ = 90.00°
Last column: magnetic moment on the atom in μB.
Sites, in units of the cell vectors:
Tm (0.5000, 0.5000, 0.5000)  0.14
Hg (0.0000, 0.0000, 0.2374)  0.01
Hg (0.0000, 0.0000, 0.7626)  0.01
Hf (0.5000, 0.5000, 0.0000)  0.24

Entry 5:
Material: Tm2HfHg
Method: DFT, PBE
State: relaxed

Computed properties:
Excess energy over the best structure of this formula in the dataset   0 meV per atom
Symmetry   P4/mmm, No. 123

a = 3.4083 Å, b = 3.4083 Å, c = 8.6928 Å
α = 90.00°, β = 90.00°, γ = 90.00°
Sites, in units of the cell vectors:
Tm (0.0000, 0.0000, 0.2428)
Tm (0.0000, 0.0000, 0.7572)
Hg (0.5000, 0.5000, 0.0000)
Hf (0.5000, 0.5000, 0.5000)

Entry 6:
Material: TmHfHg2
Method: DFT, PBE
State: relaxed

Computed properties:
Excess energy over the best structure of this formula in the dataset   26 meV per atom
Symmetry   Fm-3m, No. 225

a = 5.0604 Å, b = 5.0604 Å, c = 5.0604 Å
α = 60.00°, β = 60.00°, γ = 60.00°
Last column: magnetic moment on the atom in μB.
Sites, in units of the cell vectors:
Hf (0.5000, 0.5000, 0.5000)  0.40
Hg (0.2500, 0.2500, 0.2500)  0.02
Hg (0.7500, 0.7500, 0.7500)  0.02
Tm (0.0000, 0.0000, 0.0000)  0.25

Entry 7:
Material: TmHfZnHg
Method: DFT, PBE
State: relaxed

Computed properties:
Symmetry   F-43m, No. 216

a = 4.9559 Å, b = 4.9559 Å, c = 4.9559 Å
α = 60.00°, β = 60.00°, γ = 60.00°
Last column: magnetic moment on the atom in μB.
Sites, in units of the cell vectors:
Hg (0.5000, 0.5000, 0.5000)  0.01
Tm (0.7500, 0.7500, 0.7500)  0.25
Hf (0.2500, 0.2500, 0.2500)  0.37
Zn (0.0000, 0.0000, 0.0000)  0.02

Entry 8:
Material: Hf2UHg
Method: DFT, PBE
State: relaxed

Computed properties:
Excess energy over the best structure of this formula in the dataset   1 meV per atom
Symmetry   P4/mmm, No. 123

a = 3.5171 Å, b = 3.5171 Å, c = 7.0661 Å
α = 90.00°, β = 90.00°, γ = 90.00°
Last column: magnetic moment on the atom in μB.
Sites, in units of the cell vectors:
Hg (0.5000, 0.5000, 0.5000)  0.01
Hf (0.0000, 0.0000, 0.7533)  0.12
Hf (0.0000, 0.0000, 0.2467)  0.12
U (0.5000, 0.5000, 0.0000)  1.81

Entry 9:
Material: Hf2UHg
Method: DFT, PBE
State: relaxed

Computed properties:
Excess energy over the best structure of this formula in the dataset   168 meV per atom
Symmetry   Fm-3m, No. 225

a = 4.9831 Å, b = 4.9831 Å, c = 4.9839 Å
α = 60.00°, β = 60.00°, γ = 60.00°
Last column: magnetic moment on the atom in μB.
Sites, in units of the cell vectors:
Hf (0.7500, 0.7500, 0.7501)  0.27
Hf (0.2500, 0.2500, 0.2499)  0.27
U (0.0000, 0.0000, 0.0000)  2.25
Hg (0.5000, 0.5000, 0.5000)  -0.01

Entry 10:
Material: Hf2UHg
Method: DFT, PBE
State: relaxed

Computed properties:
Excess energy over the best structure of this formula in the dataset   0 meV per atom
Symmetry   P4/mmm, No. 123

a = 4.0536 Å, b = 4.6461 Å, c = 4.6461 Å
α = 90.00°, β = 90.00°, γ = 90.00°
Last column: magnetic moment on the atom in μB.
Sites, in units of the cell vectors:
Hf (0.0000, 0.0000, 0.5000)  0.13
Hf (0.0000, 0.5000, 0.0000)  0.13
U (0.5000, 0.5000, 0.5000)  1.81
Hg (0.5000, 0.0000, 0.0000)  -0.01

Entry 11:
Material: HfVHg3
Method: DFT, PBE
State: relaxed

Computed properties:
Symmetry   Pm-3m, No. 221

a = 5.0539 Å, b = 5.0539 Å, c = 5.0539 Å
α = 90.00°, β = 90.00°, γ = 90.00°
Last column: magnetic moment on the atom in μB.
Sites, in units of the cell vectors:
Hg (0.0000, 0.5000, 0.0000)  0.07
Hg (0.5000, 0.0000, 0.0000)  0.07
Hg (0.0000, 0.0000, 0.5000)  0.07
Hf (0.5000, 0.5000, 0.5000)  -0.50
V (0.0000, 0.0000, 0.0000)  2.36

Entry 12:
Material: HfV3Hg
Method: DFT, PBE
State: relaxed

Computed properties:
Excess energy over the best structure of this formula in the dataset   0 meV per atom
Symmetry   Pm-3m, No. 221

a = 4.6984 Å, b = 4.6984 Å, c = 4.6984 Å
α = 90.00°, β = 90.00°, γ = 90.00°
Last column: magnetic moment on the atom in μB.
Sites, in units of the cell vectors:
V (0.0000, 0.0000, 0.5000)  0.78
V (0.0000, 0.5000, 0.0000)  0.78
V (0.5000, 0.0000, 0.0000)  0.78
Hg (0.5000, 0.5000, 0.5000)  -0.02
Hf (0.0000, 0.0000, 0.0000)  -0.05

Entry 13:
Material: HfV4Hg
Method: DFT, PBE
State: relaxed

Computed properties:
Symmetry   F-43m, No. 216

a = 5.1414 Å, b = 5.1414 Å, c = 5.1414 Å
α = 60.00°, β = 60.00°, γ = 60.00°
Sites, in units of the cell vectors:
V (0.6287, 0.6287, 0.6287)
V (0.6287, 0.6287, 0.1140)
V (0.6287, 0.1140, 0.6287)
V (0.1140, 0.6287, 0.6287)
Hf (0.0000, 0.0000, 0.0000)
Hg (0.2500, 0.2500, 0.2500)

Entry 14:
Material: Hf3VHg
Method: DFT, PBE
State: relaxed

Computed properties:
Excess energy over the best structure of this formula in the dataset   744 meV per atom
Symmetry   Pm-3m, No. 221

a = 5.1809 Å, b = 5.1809 Å, c = 5.1809 Å
α = 90.00°, β = 90.00°, γ = 90.00°
Last column: magnetic moment on the atom in μB.
Sites, in units of the cell vectors:
V (0.5000, 0.5000, 0.5000)  2.74
Hf (0.0000, 0.5000, 0.0000)  0.14
Hf (0.0000, 0.0000, 0.5000)  0.14
Hf (0.5000, 0.0000, 0.0000)  0.14
Hg (0.0000, 0.0000, 0.0000)  0.05

Entry 15:
Material: Hf2VHg
Method: DFT, PBE
State: relaxed

Computed properties:
Symmetry   I-42d, No. 122

a = 4.1120 Å, b = 4.1120 Å, c = 10.5082 Å
α = 78.72°, β = 78.72°, γ = 90.00°
Last column: magnetic moment on the atom in μB.
Sites, in units of the cell vectors:
Hg (0.7500, 0.2500, 0.5000)  -0.01
Hg (0.0000, 0.0000, 0.0000)  -0.01
Hf (0.3750, 0.3809, 0.7500)  -0.04
Hf (0.1309, 0.6250, 0.2500)  -0.04
Hf (0.6191, 0.1250, 0.2500)  -0.04
Hf (0.8750, 0.8691, 0.7500)  -0.04
V (0.5000, 0.5000, 0.0000)  1.46
V (0.2500, 0.7500, 0.5000)  1.46

Entry 16:
Material: Hf2VHg
Method: DFT, PBE
State: relaxed

Computed properties:
Symmetry   P4/mmm, No. 123

a = 4.0181 Å, b = 4.4053 Å, c = 4.4053 Å
α = 90.00°, β = 90.00°, γ = 90.00°
Last column: magnetic moment on the atom in μB.
Sites, in units of the cell vectors:
Hf (0.0000, 0.5000, 0.0000)  -0.07
Hf (0.0000, 0.0000, 0.5000)  -0.07
V (0.5000, 0.0000, 0.0000)  1.23
Hg (0.5000, 0.5000, 0.5000)  -0.02

Entry 17:
Material: Hf3VHg
Method: DFT, PBE
State: relaxed

Computed properties:
Excess energy over the best structure of this formula in the dataset   0 meV per atom
Symmetry   Pm-3m, No. 221

a = 4.8596 Å, b = 4.8596 Å, c = 4.8596 Å
α = 90.00°, β = 90.00°, γ = 90.00°
Sites, in units of the cell vectors:
Hf (0.0000, 0.5000, 0.0000)
Hf (0.5000, 0.0000, 0.0000)
Hf (0.0000, 0.0000, 0.5000)
Hg (0.5000, 0.5000, 0.5000)
V (0.0000, 0.0000, 0.0000)

Entry 18:
Material: Hf2VHg
Method: DFT, PBE
State: relaxed

Computed properties:
Symmetry   P4/mmm, No. 123

a = 3.3277 Å, b = 3.3277 Å, c = 7.1000 Å
α = 90.00°, β = 90.00°, γ = 90.00°
Sites, in units of the cell vectors:
V (0.5000, 0.5000, 0.0000)
Hf (0.0000, 0.0000, 0.2200)
Hf (0.0000, 0.0000, 0.7800)
Hg (0.5000, 0.5000, 0.5000)

Entry 19:
Material: Hf2V2Hg
Method: DFT, PBE
State: relaxed

Computed properties:
Symmetry   P4/mbm, No. 127

a = 7.0385 Å, b = 7.0385 Å, c = 3.7562 Å
α = 90.00°, β = 90.00°, γ = 90.00°
Sites, in units of the cell vectors:
Hg (0.0000, 0.0000, 0.0000)
Hg (0.5000, 0.5000, 0.0000)
Hf (0.8256, 0.3256, 0.5000)
Hf (0.1744, 0.6744, 0.5000)
Hf (0.3256, 0.1744, 0.5000)
Hf (0.6744, 0.8256, 0.5000)
V (0.3825, 0.8825, 0.0000)
V (0.1175, 0.3825, 0.0000)
V (0.8825, 0.6175, 0.0000)
V (0.6175, 0.1175, 0.0000)

Entry 20:
Material: HfV3Hg
Method: DFT, PBE
State: relaxed

Computed properties:
Excess energy over the best structure of this formula in the dataset   97 meV per atom
Symmetry   Pm-3m, No. 221

a = 4.9068 Å, b = 4.9068 Å, c = 4.9068 Å
α = 90.00°, β = 90.00°, γ = 90.00°
Last column: magnetic moment on the atom in μB.
Sites, in units of the cell vectors:
Hf (0.5000, 0.5000, 0.5000)  0.26
V (0.0000, 0.5000, 0.0000)  2.21
V (0.5000, 0.0000, 0.0000)  2.21
V (0.0000, 0.0000, 0.5000)  2.21
Hg (0.0000, 0.0000, 0.0000)  0.15

no.,energy relative to the elements (eV/atom)
1,0.05
2,-0.05
3,0.25
4,-0.20
5,-0.19
6,-0.17
7,-0.16
8,0.22
9,0.38
10,0.22
11,1.02
12,1.57
13,0.13
14,1.45
15,0.65
16,0.10
17,0.70
18,-0.01
19,0.12
20,1.67